# ZnCr2Mo GGA-PBE optimized geometry
data_ZnCr2Mo
_cell_length_a 3.6532
_cell_length_b 3.6532
_cell_length_c 8.0070
_cell_angle_alpha 90.00
_cell_angle_beta 90.00
_cell_angle_gamma 90.00
_symmetry_space_group_name_H-M 'I -4 m 2'
_symmetry_Int_Tables_number 119
_symmetry_space_group_name_Hall 'I -4 -2'
loop_
_atom_site_label
_atom_site_type_symbol
_atom_site_fract_x
_atom_site_fract_y
_atom_site_fract_z
Zn1 Zn 0.0000 0.0000 0.0000
Cr1 Cr 0.0000 0.0000 0.5000
Cr2 Cr 0.0000 0.5000 0.7500
Mo1 Mo 0.0000 0.5000 0.2500
# Fermi-level density of states = 0.75 states/eV/atom
# ΔE_f = 0.302 eV/atom
# Magnetic moment = 0.909 Bohr magnetons per cell



# ZnCr2Mo GGA-PBE optimized geometry
data_ZnCr2Mo
_cell_length_a 2.6057
_cell_length_b 2.6057
_cell_length_c 8.0457
_cell_angle_alpha 90.00
_cell_angle_beta 90.00
_cell_angle_gamma 90.00
_symmetry_space_group_name_H-M 'P 4 m m'
_symmetry_Int_Tables_number 99
_symmetry_space_group_name_Hall 'P 4 -2'
loop_
_atom_site_label
_atom_site_type_symbol
_atom_site_fract_x
_atom_site_fract_y
_atom_site_fract_z
Zn1 Zn 0.0000 0.0000 0.0000
Cr1 Cr 0.0000 0.0000 0.4659
Cr2 Cr 0.5000 0.5000 0.2486
Mo1 Mo 0.5000 0.5000 0.7319
# Fermi-level density of states = 0.92 states/eV/atom
# ΔE_f = 0.320 eV/atom
# Magnetic moment = 2.257 Bohr magnetons per cell



# ZnCr2Mo GGA-PBE optimized geometry
data_ZnCr2Mo
_cell_length_a 2.5571
_cell_length_b 4.1887
_cell_length_c 5.0809
_cell_angle_alpha 90.00
_cell_angle_beta 101.85
_cell_angle_gamma 90.00
_symmetry_space_group_name_H-M 'P 1 m 1'
_symmetry_Int_Tables_number 6
_symmetry_space_group_name_Hall 'P -2y'
loop_
_atom_site_label
_atom_site_type_symbol
_atom_site_fract_x
_atom_site_fract_y
_atom_site_fract_z
Zn1 Zn 0.0000 0.0000 0.0000
Cr1 Cr 0.5899 0.0000 0.4761
Cr2 Cr 0.8074 0.5000 0.2591
Mo1 Mo 0.3207 0.5000 0.7380
# Fermi-level density of states = 0.63 states/eV/atom
# ΔE_f = 0.195 eV/atom
# Magnetic moment = 0.000 Bohr magnetons per cell